This record from Alexandria describes NaNi2OsO6 after structural relaxation. The functional is PBE+U.

It has space group R3 (No. 146, hexagonal axes), with a = 5.2459 Å, b = 5.2459 Å, c = 14.3060 Å, α = 90.00°, β = 90.00° and γ = 120.00°. The asymmetric unit holds Na at (0.0000, 0.0000, 0.0000), Ni at (0.0000, 0.0000, 0.2069), Ni at (0.0000, 0.0000, 0.7141), Os at (0.0000, 0.0000, 0.5179), O at (0.0221, 0.3504, 0.1190) and O at (0.0755, 0.7076, 0.2722).

The value obtained for the electronic total energy is -0.2133 hartree per atom. The total magnetization comes out at 15.137 μB per cell. As for the density of states at the Fermi level: 0.352 states/eV per atom.